No. 1
Entry from the Alexandria database: a geometry-optimized K3V2P3O12 structure (GGA-PBEsol).

Properties
- E (eV per formula unit) = -147.765

a = 8.865 Å, b = 8.865 Å, c = 9.003 Å
α = 118.96°, β = 118.96°, γ = 61.17°
Fractional positions:
K 0.000 0.500 0.000
K 0.096 0.256 0.246
K 0.256 0.096 0.746
K 0.500 0.000 0.500
K 0.744 0.904 0.254
K 0.904 0.744 0.754
V 0.155 0.651 0.450
V 0.349 0.845 0.050
V 0.651 0.155 0.950
V 0.845 0.349 0.550
P 0.045 0.955 0.250
P 0.260 0.455 0.747
P 0.455 0.260 0.247
P 0.545 0.740 0.753
P 0.740 0.545 0.253
P 0.955 0.045 0.750
O 0.017 0.128 0.415
O 0.076 0.785 0.283
O 0.092 0.416 0.717
O 0.128 0.017 0.915
O 0.215 0.924 0.217
O 0.228 0.485 0.577
O 0.270 0.632 0.908
O 0.288 0.430 0.278
O 0.368 0.730 0.592
O 0.416 0.092 0.217
O 0.430 0.288 0.778
O 0.485 0.228 0.077
O 0.515 0.772 0.923
O 0.570 0.712 0.222
O 0.584 0.908 0.783
O 0.632 0.270 0.408
O 0.712 0.570 0.722
O 0.730 0.368 0.092
O 0.772 0.515 0.423
O 0.785 0.076 0.783
O 0.872 0.983 0.085
O 0.908 0.584 0.283
O 0.924 0.215 0.717
O 0.983 0.872 0.585



No. 2
Entry from the Alexandria database: a geometry-optimized Ca2AsW structure (GGA-PBEsol).

Properties
- ΔE_f (eV/atom) = 0.00

a = 3.346 Å, b = 3.346 Å, c = 8.508 Å
α = 90.00°, β = 90.00°, γ = 90.00°
Fractional positions:
Ca 0.000 0.000 0.000
Ca 0.500 0.500 0.392
As 0.500 0.500 0.766
W 0.000 0.000 0.642



No. 3
Entry from the Alexandria database: a geometry-optimized Na2RhBr structure (GGA-PBEsol).

Properties
- E (eV per formula unit) = -11.922

a = 6.874 Å, b = 6.874 Å, c = 6.874 Å
α = 90.00°, β = 90.00°, γ = 90.00°
Fractional positions:
Na 0.250 0.250 0.250
Na 0.250 0.250 0.750
Na 0.250 0.750 0.250
Na 0.250 0.750 0.750
Na 0.750 0.250 0.250
Na 0.750 0.250 0.750
Na 0.750 0.750 0.250
Na 0.750 0.750 0.750
Rh 0.000 0.000 0.000
Rh 0.000 0.500 0.500
Rh 0.500 0.000 0.500
Rh 0.500 0.500 0.000
Br 0.000 0.000 0.500
Br 0.000 0.500 0.000
Br 0.500 0.000 0.000
Br 0.500 0.500 0.500



No. 4
Entry from the Alexandria database: a geometry-optimized LiBiAs2Br structure (GGA-PBEsol).

Properties
- E (eV per formula unit) = -16.232

a = 5.433 Å, b = 5.433 Å, c = 5.863 Å
α = 90.00°, β = 90.00°, γ = 90.00°
Fractional positions:
Li 0.000 0.000 0.000
Bi 0.500 0.500 0.500
As 0.000 0.500 0.500
As 0.500 0.000 0.500
Br 0.500 0.500 0.000